VASP calculation (PBE) on CdPdN2O after structural relaxation.

Output
As for the uncorrected formation energy: 1146.4 meV/atom. The spin magnetization comes out at 2.60 μB per cell. As for the volume: 66 Å³ per cell.

Cell: 3.9468 3.9468 4.2327 Å, 90.00 90.00 90.00°
Fractional coordinates of all 5 atoms:
Cd: 0.0000 0.0000 0.0000
Pd: 0.5000 0.5000 0.5000
N: 0.0000 0.5000 0.5000
N: 0.5000 0.0000 0.5000
O: 0.5000 0.5000 0.0000